# 1
# AgPt3Br

AgPt3Br after structural relaxation (GGA-PBE, the Alexandria database).

The magnetization comes out at 0.000 μB/cell. The raw formation energy is 1.564 eV per atom. The crystal system is cubic. The energy above the most stable polymorph in this dataset is 0.504 eV per atom.

The space group is Pm-3m (No. 221) and the conventional cell measures 4.952, 4.952 and 4.952 Å, with angles of 90.00, 90.00 and 90.00 degrees. The distinct sites, in fractional coordinates, are Ag at (0.000, 0.000, 0.000), Pt at (0.000, 0.000, 0.500) and Br at (0.500, 0.500, 0.500).

# 2
# AgPtBr2

AgPtBr2 after structural relaxation (GGA-PBE, the Alexandria database).

The magnetization comes out at 0.000 μB/cell. The raw formation energy is 0.419 eV per atom. The crystal system is tetragonal. The energy above the most stable polymorph in this dataset is 0.364 eV per atom.

The space group is P4/mmm (No. 123) and the conventional cell measures 4.900, 4.900 and 3.457 Å, with angles of 90.00, 90.00 and 90.00 degrees. The distinct sites, in fractional coordinates, are Ag at (0.000, 0.000, 0.000), Pt at (0.500, 0.500, 0.000) and Br at (0.000, 0.500, 0.500).

# 3
# AgPtBr2

AgPtBr2 after structural relaxation (GGA-PBE, the Alexandria database).

The magnetization comes out at 0.000 μB/cell. The raw formation energy is 0.237 eV per atom. The crystal system is monoclinic. The energy above the most stable polymorph in this dataset is 0.183 eV per atom.

The space group is C2/m (No. 12) and the conventional cell measures 7.483, 7.651 and 3.635 Å, with angles of 90.00, 108.03 and 90.00 degrees. The distinct sites, in fractional coordinates, are Ag at (0.000, 0.000, 0.000), Pt at (0.000, 0.500, 0.000) and Br at (0.250, 0.250, 0.000).